(1)
The following is a PBE calculation of Ac2SbH after structural relaxation, from the Alexandria database.

The structure belongs to space group P4/mmm (No. 123); the cell edges are 5.3766, 5.3766 and 4.1817 Å and the angles 90.00°, 90.00° and 90.00°. The asymmetric unit holds Ac at (0.0000, 0.5000, 0.0000), Sb at (0.0000, 0.0000, 0.5000) and H at (0.5000, 0.5000, 0.5000).

For the total magnetic moment, the calculation gives 0.0 Bohr magnetons per cell. As for the energy: -4.3022 eV per atom.

=====

(2)
The following is a PBE calculation of CsTlCl4 after structural relaxation, from the Alexandria database.

The structure belongs to space group P2_1/c (No. 14); the cell edges are 9.5156, 10.4278 and 12.0895 Å and the angles 90.00°, 125.90° and 90.00°. The asymmetric unit holds Cs at (0.1745, 0.1629, 0.2733), Tl at (0.3025, 0.6749, 0.1981), Cl at (0.0756, 0.6565, 0.6059), Cl at (0.2100, 0.5106, 0.2884), Cl at (0.3221, 0.6112, 0.0098) and Cl at (0.4023, 0.2422, 0.6300).

For the total magnetic moment, the calculation gives 0.0 Bohr magnetons per cell. As for the energy: -2.9442 eV per atom.

=====

(3)
The following is a PBE calculation of ZnPbW2 after structural relaxation, from the Alexandria database.

The structure belongs to space group Imm2 (No. 44); the cell edges are 3.4602, 4.6790 and 8.9627 Å and the angles 90.00°, 90.00° and 90.00°. The asymmetric unit holds Zn at (0.0000, 0.0000, 0.0000), Pb at (0.0000, 0.5000, 0.7642), W at (0.0000, 0.0000, 0.5330) and W at (0.0000, 0.5000, 0.2484).

For the total magnetic moment, the calculation gives 0.0 Bohr magnetons per cell. As for the energy: -6.9386 eV per atom.

=====

(4)
The following is a PBE calculation of Zr2Ga8Co after structural relaxation, from the Alexandria database.

The structure belongs to space group P4/mmm (No. 123); the cell edges are 4.1434, 4.1434 and 10.7360 Å and the angles 90.00°, 90.00° and 90.00°. The asymmetric unit holds Zr at (0.0000, 0.0000, 0.1900), Ga at (0.0000, 0.5000, 0.0000), Ga at (0.0000, 0.5000, 0.3784), Ga at (0.5000, 0.5000, 0.1924) and Co at (0.0000, 0.0000, 0.5000).

For the total magnetic moment, the calculation gives 0.0 Bohr magnetons per cell. As for the energy: -4.8406 eV per atom.

=====

(5)
The following is a PBE calculation of Th3Cd4Ag2 after structural relaxation, from the Alexandria database.

The structure belongs to space group C2/m (No. 12); the cell edges are 11.0685, 5.0541 and 9.3655 Å and the angles 90.00°, 121.50° and 90.00°. The asymmetric unit holds Th at (0.0000, 0.0000, 0.0000), Th at (0.1687, 0.5000, 0.6633), Cd at (0.0516, 0.0000, 0.3834), Cd at (0.2223, 0.5000, 0.0584) and Ag at (0.1081, 0.5000, 0.2757).

For the total magnetic moment, the calculation gives 0.0 Bohr magnetons per cell. As for the energy: -3.6829 eV per atom.

=====

(6)
The following is a PBE calculation of BaMg2In after structural relaxation, from the Alexandria database.

The structure belongs to space group Pm (No. 6); the cell edges are 3.6154, 4.9176 and 7.3473 Å and the angles 90.00°, 104.13° and 90.00°. The asymmetric unit holds Ba at (0.0000, 0.0000, 0.0000), Mg at (0.3170, 0.5000, 0.6344), Mg at (0.7396, 0.0000, 0.4891) and In at (0.6284, 0.5000, 0.2595).

For the total magnetic moment, the calculation gives 0.0 Bohr magnetons per cell. As for the energy: -2.0887 eV per atom.

=====

(7)
The following is a PBE calculation of Ce2ErHg after structural relaxation, from the Alexandria database.

The structure belongs to space group Fm-3m (No. 225); the cell edges are 7.6932, 7.6932 and 7.6932 Å and the angles 90.00°, 90.00° and 90.00°. The asymmetric unit holds Ce at (0.2500, 0.2500, 0.2500), Er at (0.0000, 0.0000, 0.0000) and Hg at (0.0000, 0.0000, 0.5000).

For the total magnetic moment, the calculation gives 11.4 Bohr magnetons per cell. As for the energy: -4.1498 eV per atom.

=====

(8)
The following is a PBE calculation of Ba3TmTh2Bi6 after structural relaxation, from the Alexandria database.

The structure belongs to space group C2/m (No. 12); the cell edges are 8.1872, 14.2000 and 8.5868 Å and the angles 90.00°, 108.59° and 90.00°. The asymmetric unit holds Ba at (0.0000, 0.0000, 0.0000), Ba at (0.0000, 0.3318, 0.0000), Tm at (0.0000, 0.5000, 0.5000), Th at (0.0000, 0.1662, 0.5000), Bi at (0.2360, 0.3356, 0.7157) and Bi at (0.2440, 0.0000, 0.7174).

For the total magnetic moment, the calculation gives 0.0 Bohr magnetons per cell. As for the energy: -4.8067 eV per atom.

=====

(9)
The following is a PBE calculation of TiCd3F after structural relaxation, from the Alexandria database.

The structure belongs to space group Pm-3m (No. 221); the cell edges are 4.7254, 4.7254 and 4.7254 Å and the angles 90.00°, 90.00° and 90.00°. The asymmetric unit holds Ti at (0.0000, 0.0000, 0.0000), Cd at (0.0000, 0.5000, 0.5000) and F at (0.5000, 0.5000, 0.5000).

For the total magnetic moment, the calculation gives 2.2 Bohr magnetons per cell. As for the energy: -2.6454 eV per atom.

=====

(10)
The following is a PBE calculation of VCr2FeH after structural relaxation, from the Alexandria database.

The structure belongs to space group P4/mmm (No. 123); the cell edges are 4.4214, 4.4214 and 2.9804 Å and the angles 90.00°, 90.00° and 90.00°. The asymmetric unit holds V at (0.0000, 0.0000, 0.0000), Cr at (0.0000, 0.5000, 0.5000), Fe at (0.5000, 0.5000, 0.5000) and H at (0.5000, 0.5000, 0.0000).

For the total magnetic moment, the calculation gives 1.6 Bohr magnetons per cell. As for the energy: -7.2206 eV per atom.

=====

(11)
The following is a PBE calculation of Pr3Sm2Tm6 after structural relaxation, from the Alexandria database.

The structure belongs to space group C2/m (No. 12); the cell edges are 6.1606, 10.6880 and 11.5973 Å and the angles 90.00°, 100.26° and 90.00°. The asymmetric unit holds Pr at (0.0000, 0.0000, 0.0000), Pr at (0.0000, 0.3359, 0.0000), Sm at (0.0000, 0.1665, 0.5000), Tm at (0.2488, 0.3336, 0.7473) and Tm at (0.2500, 0.0000, 0.7475).

For the total magnetic moment, the calculation gives 0.0 Bohr magnetons per cell. As for the energy: -4.4032 eV per atom.

=====

(12)
The following is a PBE calculation of Ca2ReBiPt after structural relaxation, from the Alexandria database.

The structure belongs to space group P4/mmm (No. 123); the cell edges are 5.4120, 5.4120 and 5.2724 Å and the angles 90.00°, 90.00° and 90.00°. The asymmetric unit holds Ca at (0.0000, 0.5000, 0.0000), Re at (0.0000, 0.0000, 0.5000), Bi at (0.5000, 0.5000, 0.5000) and Pt at (0.5000, 0.5000, 0.0000).

For the total magnetic moment, the calculation gives 3.7 Bohr magnetons per cell. As for the energy: -4.5827 eV per atom.